Density functional theory data (GGA-PBE) for crystalline Pm2SnAu6 at its relaxed geometry.

Cell lengths 5.449, 6.536, 6.538 Å; angles 119.99, 89.99, 90.00 degrees
Positions (direct):
Au  0.678  0.188  0.812
Au  0.322  0.812  0.623
Au  0.678  0.188  0.377
Pm  0.175  0.333  0.667
Sn  0.000  0.000  0.000
Au  0.322  0.377  0.188
Au  0.678  0.623  0.812
Au  0.322  0.812  0.188
Pm  0.825  0.667  0.333

Summary:
E above lowest polymorph   0 meV per atom
DFT formation energy   -0.596 eV/atom
Spin magnetization   0.0 μB per cell